(1)
PaVGeRu | PBE | relaxed

Lattice parameters (Å, degrees): 4.594 4.594 4.594 60.00 60.00 60.00
Last column: magnetic moment on the atom in μB.
Atoms (fractional coordinates):
Ru (0.500, 0.500, 0.500)  0.13
Ge (0.250, 0.250, 0.250)  -0.02
Pa (0.750, 0.750, 0.750)  0.12
V (0.000, 0.000, 0.000)  1.27

Summary:
- Calculated total energy: -8.357 eV per atom
- M_tot: 0.41 μB/atom
- V: 69 Å³ per cell
- Energy of formation: -0.23 eV/atom


(2)
PaGeS | PBE | relaxed

Lattice parameters (Å, degrees): 3.877 3.877 8.560 103.09 103.09 90.00
Last column: magnetic moment on the atom in μB.
Atoms (fractional coordinates):
Pa (0.356, 0.356, 0.712)  0.29
Pa (0.644, 0.644, 0.288)  0.29
Ge (0.000, 0.500, 0.000)  0.00
Ge (0.500, 0.000, 0.000)  0.00
S (0.182, 0.182, 0.364)  -0.01
S (0.818, 0.818, 0.636)  -0.01

Summary:
- Calculated total energy: -7.264 eV per atom
- M_tot: 0.11 μB/atom
- V: 122 Å³ per cell
- Formation energy without anion corrections: -1184 meV/atom